(1)
First-principles (GGA-PBEsol) data for crystalline SmCo12B6 at its relaxed geometry, as listed in Alexandria.

Calculated values
- E_form: -0.410 eV per atom
- Density of states at the Fermi level: 13.065 states/eV/f.u.
- V: 182 Å³/f.u.

CIF file:
```
data_SmCo12B6
_cell_length_a 9.2871
_cell_length_b 9.2871
_cell_length_c 7.3233
_cell_angle_alpha 90.00
_cell_angle_beta 90.00
_cell_angle_gamma 120.00
_symmetry_space_group_name_H-M 'R -3 m'
_symmetry_Int_Tables_number 166
_symmetry_space_group_name_Hall '-R 3 2"'
loop_
_atom_site_label
_atom_site_fract_x
_atom_site_fract_y
_atom_site_fract_z
Sm1 0.0000 0.0000 0.0000
Co1 0.0000 0.3673 0.5000
Co2 0.0902 0.1803 0.3667
B1 0.0374 0.5187 0.2862
```



(2)
First-principles (GGA-PBEsol) data for crystalline Co21Sn2B6 at its relaxed geometry, as listed in Alexandria.

Calculated values
- E_form: -0.226 eV per atom
- Density of states at the Fermi level: 41.304 states/eV/f.u.
- V: 282 Å³/f.u.

CIF file:
```
data_Co21Sn2B6
_cell_length_a 10.414
_cell_length_b 10.414
_cell_length_c 10.414
_cell_angle_alpha 90.00
_cell_angle_beta 90.00
_cell_angle_gamma 90.00
_symmetry_space_group_name_H-M 'F m -3 m'
_symmetry_Int_Tables_number 225
_symmetry_space_group_name_Hall '-F 4 2 3'
loop_
_atom_site_label
_atom_site_fract_x
_atom_site_fract_y
_atom_site_fract_z
Co1 0.000 0.000 0.000
Co2 0.000 0.167 0.167
Co3 0.115 0.115 0.385
Sn1 0.250 0.250 0.250
B1 0.000 0.000 0.275
```



(3)
First-principles (GGA-PBEsol) data for crystalline SrCoB2 at its relaxed geometry, as listed in Alexandria.

Calculated values
- E_form: 0.007 eV per atom
- Density of states at the Fermi level: 2.400 states/eV/f.u.
- V: 61 Å³/f.u.

CIF file:
```
data_SrCoB2
_cell_length_a 4.584
_cell_length_b 4.584
_cell_length_c 11.695
_cell_angle_alpha 90.00
_cell_angle_beta 90.00
_cell_angle_gamma 90.00
_symmetry_space_group_name_H-M 'I 41/a m d'
_symmetry_Int_Tables_number 141
loop_
_symmetry_equiv_pos_as_xyz
'x,y,z'
'-x,-y,-z'
'-y+1/4,x+3/4,z+1/4'
'y+1/4,-x+3/4,-z+1/4'
'-x+1/2,-y,z+1/2'
'x+1/2,y,-z+1/2'
'y+1/4,-x+1/4,z+3/4'
'-y+1/4,x+1/4,-z+3/4'
'x,-y,-z'
'-x,y,z'
'-y+1/4,-x+1/4,-z+3/4'
'y+1/4,x+1/4,z+3/4'
'-x+1/2,y,-z+1/2'
'x+1/2,-y,z+1/2'
'y+1/4,x+3/4,-z+1/4'
'-y+1/4,-x+3/4,z+1/4'
'x+1/2,y+1/2,z+1/2'
'-x+1/2,-y+1/2,-z+1/2'
'-y+3/4,x+1/4,z+3/4'
'y+3/4,-x+1/4,-z+3/4'
'-x,-y+1/2,z'
'x,y+1/2,-z'
'y+3/4,-x+3/4,z+1/4'
'-y+3/4,x+3/4,-z+1/4'
'x+1/2,-y+1/2,-z+1/2'
'-x+1/2,y+1/2,z+1/2'
'-y+3/4,-x+3/4,-z+1/4'
'y+3/4,x+3/4,z+1/4'
'-x,y+1/2,-z'
'x,-y+1/2,z'
'y+3/4,x+1/4,-z+3/4'
'-y+3/4,-x+1/4,z+3/4'
loop_
_atom_site_label
_atom_site_fract_x
_atom_site_fract_y
_atom_site_fract_z
Sr1 0.000 0.250 0.375
Co1 0.000 0.250 0.875
B1 0.000 0.000 0.000
```



(4)
First-principles (GGA-PBEsol) data for crystalline SrCoB3 at its relaxed geometry, as listed in Alexandria.

Calculated values
- E_form: 3.396 eV per atom
- Density of states at the Fermi level: 10.430 states/eV/f.u.
- V: 94 Å³/f.u.

CIF file:
```
data_SrCoB3
_cell_length_a 4.540
_cell_length_b 4.540
_cell_length_c 4.540
_cell_angle_alpha 90.00
_cell_angle_beta 90.00
_cell_angle_gamma 90.00
_symmetry_space_group_name_H-M 'P m -3 m'
_symmetry_Int_Tables_number 221
_symmetry_space_group_name_Hall '-P 4 2 3'
loop_
_atom_site_label
_atom_site_fract_x
_atom_site_fract_y
_atom_site_fract_z
Sr1 0.000 0.000 0.000
Co1 0.500 0.500 0.500
B1 0.000 0.000 0.500
```



(5)
First-principles (GGA-PBEsol) data for crystalline TaCo2B2 at its relaxed geometry, as listed in Alexandria.

Calculated values
- E_form: -0.165 eV per atom
- Density of states at the Fermi level: 4.952 states/eV/f.u.
- V: 48 Å³/f.u.

CIF file:
```
data_TaCo2B2
_cell_length_a 6.139
_cell_length_b 6.139
_cell_length_c 2.540
_cell_angle_alpha 90.00
_cell_angle_beta 90.00
_cell_angle_gamma 90.00
_symmetry_space_group_name_H-M 'P 4/m b m'
_symmetry_Int_Tables_number 127
_symmetry_space_group_name_Hall '-P 4 2ab'
loop_
_atom_site_label
_atom_site_fract_x
_atom_site_fract_y
_atom_site_fract_z
Ta1 0.000 0.000 0.000
Co1 0.147 0.353 0.500
B1 0.136 0.636 0.000
```



(6)
First-principles (GGA-PBEsol) data for crystalline TbCo4B at its relaxed geometry, as listed in Alexandria.

Calculated values
- E_form: -0.326 eV per atom
- Density of states at the Fermi level: 7.698 states/eV/f.u.
- V: 71 Å³/f.u.

CIF file:
```
data_TbCo4B
_cell_length_a 4.9261
_cell_length_b 4.9261
_cell_length_c 6.7510
_cell_angle_alpha 90.00
_cell_angle_beta 90.00
_cell_angle_gamma 120.00
_symmetry_space_group_name_H-M 'P 6/m m m'
_symmetry_Int_Tables_number 191
_symmetry_space_group_name_Hall '-P 6 2'
loop_
_atom_site_label
_atom_site_fract_x
_atom_site_fract_y
_atom_site_fract_z
Tb1 0.0000 0.0000 0.0000
Tb2 0.0000 0.0000 0.5000
Co1 0.0000 0.5000 0.2137
Co2 0.3333 0.6667 0.5000
B1 0.3333 0.6667 0.0000
```